# HoAg2Au6

HoAg2Au6 after structural relaxation (GGA-PBE, Alexandria).

Lattice parameters (Å, degrees): 5.1273 8.4268 8.4268 74.49 82.31 82.31
Fractional positions:
Ag 0.4097 0.5348 0.7980
Au 0.8008 0.0066 0.7675
Au 0.6992 0.2325 0.9934
Au 0.9643 0.4369 0.6745
Au 0.1992 0.9934 0.2325
Au 0.4643 0.6745 0.4369
Au 0.3590 0.8959 0.6483
Ag 0.0903 0.2020 0.4652
Au 0.8590 0.6483 0.8959
Au 0.0357 0.5631 0.3255
Au 0.6410 0.1041 0.3517
Ag 0.9097 0.7980 0.5348
Au 0.1410 0.3517 0.1041
Ho 0.7500 0.8638 0.1362
Au 0.5357 0.3255 0.5631
Au 0.3008 0.7675 0.0066
Ho 0.2500 0.1362 0.8638
Ag 0.5903 0.4652 0.2020

Results
Total magnetic moment ... 0.0 μB per cell
Mass density ... 15.00 g/cm³
Calculated formation energy ... -0.277 eV per atom
Space group ... C2/c (15)